1.
{"formula": "AgSe2N2", "functional": "PBE", "state": "optimized geometry", "lattice": [[-2.331, 4.635, 0.896], [0.184, -0.909, 5.182], [3.639, 1.794, 0.186]], "species": ["Se", "Se", "Ag", "N", "N"], "frac_coords": [[0.500, 0.000, 0.000], [0.000, 0.500, 0.000], [0.000, 0.000, 0.000], [0.000, 0.000, 0.500], [0.500, 0.500, 0.500]], "raw_formation_energy_ev_per_atom": 2.283, "sg": "No. 123", "energy_ev_per_atom": -3.012}

=====

2.
{"formula": "Ho3GaRu2", "functional": "PBE", "state": "optimized geometry", "lattice": [[-0.287, -2.649, -2.182], [1.467, -2.074, 2.325], [-9.362, -2.220, 3.928]], "species": ["Ho", "Ho", "Ho", "Ga", "Ru", "Ru"], "frac_coords": [[0.000, 0.000, 0.000], [0.000, 0.000, 0.319], [0.000, 0.000, 0.681], [0.500, 0.500, 0.500], [0.500, 0.500, 0.834], [0.500, 0.500, 0.166]], "sg": "No. 123", "energy_ev_per_atom": -6.370}

=====

3.
{"formula": "CsVS3", "functional": "PBE", "state": "optimized geometry", "lattice": [[-5.860, 2.353, -5.359], [-3.281, -5.110, 1.344], [0.694, 1.543, 7.562]], "species": ["S", "S", "S", "S", "S", "S", "Cs", "Cs", "V", "V"], "frac_coords": [[0.851, 0.010, 0.064], [0.671, 0.250, 0.549], [0.851, 0.490, 0.064], [0.149, 0.990, 0.936], [0.149, 0.510, 0.936], [0.329, 0.750, 0.451], [0.710, 0.750, 0.377], [0.290, 0.250, 0.623], [0.068, 0.750, 0.110], [0.932, 0.250, 0.890]], "raw_formation_energy_ev_per_atom": -0.965, "sg": "No. 11", "energy_ev_per_atom": -5.436}

=====

4.
{"formula": "HoZn9Au3", "functional": "PBE", "state": "optimized geometry", "lattice": [[5.129, 0.080, 2.082], [2.558, 6.323, 1.039], [0.180, 0.040, 6.915]], "species": ["Zn", "Zn", "Zn", "Zn", "Zn", "Zn", "Zn", "Zn", "Zn", "Au", "Au", "Au", "Ho"], "frac_coords": [[0.000, 0.500, 0.000], [0.001, 0.641, 0.353], [0.354, 0.641, 0.647], [0.488, 0.214, 0.792], [0.512, 0.786, 0.208], [0.720, 0.786, 0.792], [0.999, 0.359, 0.647], [0.646, 0.359, 0.353], [0.280, 0.214, 0.208], [0.500, 0.500, 0.000], [0.500, 0.000, 0.500], [0.000, 0.000, 0.500], [0.000, 0.000, 0.000]], "sg": "No. 12", "energy_ev_per_atom": -2.215}

=====

5.
{"formula": "Ce4Er3Sb4", "functional": "PBE", "state": "optimized geometry", "lattice": [[-0.290, -1.249, 3.858], [8.992, -5.294, -1.037], [-0.487, 9.389, 0.860]], "species": ["Er", "Er", "Er", "Sb", "Sb", "Sb", "Sb", "Ce", "Ce", "Ce", "Ce"], "frac_coords": [[0.000, 0.500, 0.000], [0.885, 0.885, 0.771], [0.115, 0.115, 0.229], [0.781, 0.281, 0.561], [0.219, 0.719, 0.439], [0.500, 0.824, 0.000], [0.500, 0.176, 0.000], [0.308, 0.535, 0.616], [0.692, 0.919, 0.384], [0.692, 0.465, 0.384], [0.308, 0.081, 0.616]], "raw_formation_energy_ev_per_atom": -0.571, "sg": "No. 71", "energy_ev_per_atom": -5.472}

=====

6.
{"formula": "Nd8Ga2Sn", "functional": "PBE", "state": "optimized geometry", "lattice": [[-0.272, 2.259, 4.432], [-8.084, 0.391, -0.696], [2.653, -8.523, 1.707]], "species": ["Sn", "Nd", "Nd", "Nd", "Nd", "Nd", "Nd", "Nd", "Nd", "Ga", "Ga"], "frac_coords": [[0.500, 0.000, 0.000], [0.398, 0.545, 0.797], [0.049, 0.740, 0.099], [0.324, 0.057, 0.648], [0.951, 0.260, 0.901], [0.166, 0.248, 0.332], [0.676, 0.943, 0.352], [0.834, 0.752, 0.668], [0.602, 0.455, 0.203], [0.214, 0.666, 0.427], [0.786, 0.334, 0.573]], "sg": "No. 12", "energy_ev_per_atom": -4.715}

=====

Repeat the third record exactly.
{"formula": "CsVS3", "functional": "PBE", "state": "optimized geometry", "lattice": [[-5.860, 2.353, -5.359], [-3.281, -5.110, 1.344], [0.694, 1.543, 7.562]], "species": ["S", "S", "S", "S", "S", "S", "Cs", "Cs", "V", "V"], "frac_coords": [[0.851, 0.010, 0.064], [0.671, 0.250, 0.549], [0.851, 0.490, 0.064], [0.149, 0.990, 0.936], [0.149, 0.510, 0.936], [0.329, 0.750, 0.451], [0.710, 0.750, 0.377], [0.290, 0.250, 0.623], [0.068, 0.750, 0.110], [0.932, 0.250, 0.890]], "raw_formation_energy_ev_per_atom": -0.965, "sg": "No. 11", "energy_ev_per_atom": -5.436}